! BaNa4Zn (PBE, relaxed); values from VASP
! spin magnetization	1.2	μB/f.u.
! energy of formation	133	meV per atom
! ρ	2.305	g cm⁻³
! N(E_F)	5.2	states/eV/cell
&SYSTEM
  ibrav = 0, nat = 6, ntyp = 3
/
ATOMIC_SPECIES
Ba 137.33 Ba.upf
Na 22.99 Na.upf
Zn 65.41 Zn.upf
CELL_PARAMETERS angstrom
0.000 4.735 4.735
4.735 0.000 4.735
4.735 4.735 0.000
ATOMIC_POSITIONS crystal
Ba 0.000 0.000 0.000
Na 0.130 0.623 0.623
Na 0.623 0.130 0.623
Na 0.623 0.623 0.130
Na 0.623 0.623 0.623
Zn 0.250 0.250 0.250


! MnAgAu (PBE, relaxed); values from VASP
! spin magnetization	0.5	μB/f.u.
! energy of formation	260	meV per atom
! ρ	12.504	g cm⁻³
! N(E_F)	8.0	states/eV/cell
&SYSTEM
  ibrav = 0, nat = 12, ntyp = 3
/
ATOMIC_SPECIES
Mn 54.94 Mn.upf
Ag 107.87 Ag.upf
Au 196.97 Au.upf
CELL_PARAMETERS angstrom
10.015 0.000 0.000
0.000 2.907 0.000
-2.299 0.000 6.563
ATOMIC_POSITIONS crystal
Mn 0.186 0.000 0.033
Mn 0.314 0.500 0.967
Mn 0.686 0.500 0.033
Mn 0.814 0.000 0.967
Ag 0.165 0.000 0.606
Ag 0.335 0.500 0.394
Ag 0.665 0.500 0.606
Ag 0.835 0.000 0.394
Au 0.027 0.500 0.225
Au 0.473 0.000 0.775
Au 0.527 0.000 0.225
Au 0.973 0.500 0.775


! NbTlBi3 (PBE, relaxed); values from VASP
! spin magnetization	0.0	μB/f.u.
! energy of formation	1593	meV per atom
! ρ	8.413	g cm⁻³
! N(E_F)	9.9	states/eV/cell
&SYSTEM
  ibrav = 0, nat = 5, ntyp = 3
/
ATOMIC_SPECIES
Nb 92.91 Nb.upf
Tl 204.38 Tl.upf
Bi 208.98 Bi.upf
CELL_PARAMETERS angstrom
5.671 0.000 0.000
0.000 5.671 0.000
0.000 0.000 5.671
ATOMIC_POSITIONS crystal
Nb 0.000 0.000 0.000
Tl 0.500 0.500 0.500
Bi 0.000 0.500 0.500
Bi 0.500 0.000 0.500
Bi 0.500 0.500 0.000


! Ca2Te (PBE, relaxed); values from VASP
! spin magnetization	0.0	μB/f.u.
! ρ	3.001	g cm⁻³
! raw formation energy	-93.7	kJ/mol of atoms
! N(E_F)	0.7	states/eV/cell
&SYSTEM
  ibrav = 0, nat = 3, ntyp = 2
/
ATOMIC_SPECIES
Ca 40.08 Ca.upf
Te 127.60 Te.upf
CELL_PARAMETERS angstrom
4.327 0.000 0.000
-2.163 3.747 0.000
0.000 0.000 7.090
ATOMIC_POSITIONS crystal
Ca 0.333 0.667 0.272
Ca 0.667 0.333 0.728
Te 0.000 0.000 0.000


! Dy4GeBiC (PBE, relaxed); values from VASP
! spin magnetization	0.0	μB/f.u.
! energy of formation	-627	meV per atom
! ρ	8.796	g cm⁻³
! N(E_F)	6.9	states/eV/cell
&SYSTEM
  ibrav = 0, nat = 14, ntyp = 4
/
ATOMIC_SPECIES
Dy 162.50 Dy.upf
Ge 72.64 Ge.upf
Bi 208.98 Bi.upf
C 12.01 C.upf
CELL_PARAMETERS angstrom
3.381 -7.778 0.000
3.381 7.778 0.000
0.000 0.000 6.775
ATOMIC_POSITIONS crystal
Dy 0.000 0.500 0.000
Dy 0.000 0.500 0.500
Dy 0.084 0.916 0.750
Dy 0.404 0.596 0.750
Dy 0.500 0.000 0.000
Dy 0.500 0.000 0.500
Dy 0.596 0.404 0.250
Dy 0.916 0.084 0.250
Ge 0.114 0.886 0.250
Ge 0.886 0.114 0.750
Bi 0.396 0.604 0.250
Bi 0.604 0.396 0.750
C 0.246 0.754 0.750
C 0.754 0.246 0.250


! Tm2Rh3Pb (PBE, relaxed); values from VASP
! spin magnetization	0.0	μB/f.u.
! energy of formation	-713	meV per atom
! ρ	12.503	g cm⁻³
! N(E_F)	10.2	states/eV/cell
&SYSTEM
  ibrav = 0, nat = 12, ntyp = 3
/
ATOMIC_SPECIES
Tm 168.93 Tm.upf
Rh 102.91 Rh.upf
Pb 207.20 Pb.upf
CELL_PARAMETERS angstrom
4.754 0.000 0.000
-2.377 4.117 0.000
0.000 0.000 11.588
ATOMIC_POSITIONS crystal
Tm 0.000 0.000 0.000
Tm 0.000 0.000 0.500
Tm 0.333 0.667 0.174
Tm 0.667 0.333 0.826
Rh 0.000 0.000 0.246
Rh 0.000 0.000 0.754
Rh 0.333 0.667 0.421
Rh 0.333 0.667 0.918
Rh 0.667 0.333 0.082
Rh 0.667 0.333 0.579
Pb 0.333 0.667 0.667
Pb 0.667 0.333 0.333